# 1
This record from Alexandria via LeMat-Bulk describes a relaxed CoTeP2 crystal. The functional is PBE.

As for the energy relative to the elements, uncorrected: 0.781 eV/atom. The space-group type is No. 123.

Cell: 4.544 4.544 3.173 Å, 90.00 90.00 90.00°
Atoms (fractional coordinates):
Co 0.000 0.000 0.000
Te 0.500 0.500 0.000
P 0.000 0.500 0.500
P 0.500 0.000 0.500



# 2
This record from Alexandria via LeMat-Bulk describes a relaxed YTc3Hg crystal. The functional is PBE.

For the distance to the lowest polymorph of the same formula, the calculation gives 1.70 eV/f.u. The space-group type is No. 221. The calculation puts the calculated formation energy at 2.252 eV/atom.

Cell: 4.858 4.858 4.858 Å, 90.00 90.00 90.00°
Atoms (fractional coordinates):
Y 0.000 0.000 0.000
Tc 0.000 0.000 0.500
Tc 0.000 0.500 0.000
Tc 0.500 0.000 0.000
Hg 0.500 0.500 0.500



no.,ρ (g cm⁻³)
1,6.30
2,8.45